(1)
Entry from Alexandria: a relaxed ZnIn2Cu crystal (PBE). Values from VASP.

```
&SYSTEM
  ibrav = 0, nat = 4, ntyp = 3
/
ATOMIC_SPECIES
Zn 65.41 Zn.upf
In 114.82 In.upf
Cu 63.55 Cu.upf
ATOMIC_POSITIONS angstrom
Zn 0.000 0.000 0.000
In 0.000 2.164 2.064
In 2.164 0.000 2.064
Cu 2.164 2.164 0.000
CELL_PARAMETERS angstrom
4.327 0.000 0.000
0.000 4.327 0.000
0.000 0.000 4.128
```

## Properties
- DOS at the Fermi energy: 0.336 states/eV per atom
- Total magnetization: 0.000 μB per cell
- E_form: 0.1699 eV per atom
- E: -2.54 eV per atom
- Space-group type: No. 123



(2)
Entry from Alexandria: a relaxed CrCoP2 crystal (PBE). Values from VASP.

```
&SYSTEM
  ibrav = 0, nat = 8, ntyp = 3
/
ATOMIC_SPECIES
Cr 52.00 Cr.upf
Co 58.93 Co.upf
P 30.97 P.upf
ATOMIC_POSITIONS angstrom
Cr 0.000 0.000 0.000
Cr 3.729 1.352 0.000
Co -0.762 1.352 2.312
Co 2.966 0.000 2.312
P 0.618 0.000 3.577
P 1.587 1.352 1.047
P 4.346 1.352 3.577
P 5.315 0.000 1.047
CELL_PARAMETERS angstrom
7.457 0.000 0.000
0.000 2.705 0.000
-1.524 0.000 4.623
```

## Properties
- ΔE to the lowest computed polymorph: 186 meV/atom
- DOS at the Fermi energy: 0.990 states/eV per atom
- Total magnetization: 0.004 μB per cell
- E_form: -0.1568 eV per atom
- E: -7.04 eV per atom
- Space-group type: No. 12